A plane-wave DFT calculation with PBE was carried out for a relaxed Zn2TePbW crystal.

Calculated values
**Energy**: -2.892 eV per atom
**Density**: 6743 kg/m³
**E_form (uncorrected)**: 1.58 eV per atom
**Space group**: P4/mmm (123)

a = 5.0617 Å, b = 6.2421 Å, c = 5.0617 Å
α = 90.00°, β = 90.00°, γ = 90.00°
Last column: nearest neighbours and their distance in Å.
Fractional positions:
Te 0.0000 0.5000 0.0000  2 Pb 3.12
Zn 0.0000 0.0000 0.5000  2 Pb 2.53
W 0.5000 0.5000 0.5000  4 Te 3.58
Pb 0.0000 0.0000 0.0000  4 Zn 2.53
Zn 0.5000 0.0000 0.0000  2 Pb 2.53